Density functional theory data (PBE) for crystalline Ac2Zn3Ag4 at its relaxed geometry.

Lattice parameters (Å, degrees): 8.7676 8.7676 8.1509 90.00 90.00 139.03
Element x y z (fractional)
Ac  0.1169  0.8831  0.9161
Ac  0.3831  0.6169  0.4161
Ac  0.6169  0.3831  0.5839
Ac  0.8831  0.1169  0.0839
Zn  0.0000  0.0000  0.5000
Zn  0.0264  0.4736  0.7500
Zn  0.4736  0.0264  0.2500
Zn  0.5000  0.5000  0.0000
Zn  0.5264  0.9736  0.7500
Zn  0.9736  0.5264  0.2500
Ag  0.1808  0.8192  0.5166
Ag  0.1950  0.3050  0.7500
Ag  0.3050  0.1950  0.2500
Ag  0.3192  0.6808  0.0166
Ag  0.6808  0.3192  0.9834
Ag  0.6950  0.8050  0.7500
Ag  0.8050  0.6950  0.2500
Ag  0.8192  0.1808  0.4834

Output
symmetry	Cmce, No. 64
density of states at the Fermi level	12.598	states/eV per cell
crystal system	orthorhombic
theoretical density	8.7	Mg/m³
energy relative to the elements	-0.20	eV per atom


Density functional theory data (PBE) for crystalline AcZnAg4 at its relaxed geometry.

Lattice parameters (Å, degrees): 8.3025 4.1938 7.5716 90.00 90.00 90.00
Element x y z (fractional)
Ac  0.2500  0.0000  0.1123
Ac  0.7500  0.0000  0.8877
Zn  0.2500  0.0000  0.7009
Zn  0.7500  0.0000  0.2991
Ag  0.0000  0.0000  0.5000
Ag  0.0586  0.5000  0.8069
Ag  0.2500  0.5000  0.4584
Ag  0.4414  0.5000  0.8069
Ag  0.5000  0.0000  0.5000
Ag  0.5586  0.5000  0.1931
Ag  0.7500  0.5000  0.5416
Ag  0.9414  0.5000  0.1931

Output
symmetry	Pmma, No. 51
density of states at the Fermi level	6.498	states/eV per cell
crystal system	orthorhombic
theoretical density	9.1	Mg/m³
energy relative to the elements	-0.13	eV per atom


Density functional theory data (PBE) for crystalline AcZn3Ag at its relaxed geometry.

Lattice parameters (Å, degrees): 4.5643 4.5643 6.2080 112.85 112.85 86.60
Element x y z (fractional)
Ac  0.0000  0.0000  0.0000
Zn  0.2429  0.7432  0.4865
Zn  0.6284  0.6284  0.2553
Zn  0.7432  0.2429  0.4865
Ag  0.3757  0.3757  0.7525

Output
symmetry	Cm, No. 8
density of states at the Fermi level	2.853	states/eV per cell
crystal system	monoclinic
theoretical density	8.1	Mg/m³
energy relative to the elements	-0.25	eV per atom


Density functional theory data (PBE) for crystalline AcZn4Ag4 at its relaxed geometry.

Lattice parameters (Å, degrees): 8.9578 8.9578 4.6608 90.00 90.00 90.00
Element x y z (fractional)
Ac  0.2500  0.2500  0.2500
Ac  0.7500  0.7500  0.7500
Zn  0.0029  0.8967  0.2473
Zn  0.1033  0.5029  0.7473
Zn  0.3967  0.9971  0.7473
Zn  0.4971  0.6033  0.2473
Zn  0.5029  0.3967  0.7527
Zn  0.6033  0.0029  0.2527
Zn  0.8967  0.4971  0.2527
Zn  0.9971  0.1033  0.7527
Ag  0.1362  0.8534  0.7469
Ag  0.1466  0.6362  0.2469
Ag  0.3534  0.8638  0.2469
Ag  0.3638  0.6466  0.7469
Ag  0.6362  0.3534  0.2531
Ag  0.6466  0.1362  0.7531
Ag  0.8534  0.3638  0.7531
Ag  0.8638  0.1466  0.2531

Output
symmetry	P4_2/n, No. 86
density of states at the Fermi level	9.219	states/eV per cell
crystal system	tetragonal
theoretical density	8.2	Mg/m³
energy relative to the elements	-0.08	eV per atom